Record 1
This record from Alexandria via LeMat-Bulk describes a relaxed structure of ErFeNi4. The functional is GGA-PBE.

D(E_F) (states/eV per cell): 5.88
Space group: P-6m2, No. 187
Size of the total moment (μB/atom): 0.674

Cell and atoms, written as POSCAR:
```
ErFeNi4
1.0
-4.290 -1.929 1.451
3.829 -2.946 -0.946
1.142 0.280 3.749
Ni Er Fe
4 1 1
direct
0.166 0.834 0.500
0.000 0.000 0.000
0.166 0.332 0.500
0.668 0.834 0.500
0.667 0.333 0.000
0.333 0.667 0.000
```

Record 2
This record from Alexandria via LeMat-Bulk describes a relaxed structure of ErFeNi3. The functional is GGA-PBE.

D(E_F) (states/eV per cell): 13.05
Space group: Cmcm, No. 63
Size of the total moment (μB/atom): 0.803

Cell and atoms, written as POSCAR:
```
ErFeNi3
1.0
4.359 0.000 0.000
0.000 7.261 -1.054
0.000 -4.226 5.997
Ni Er Fe
6 2 2
direct
0.750 0.048 0.578
0.000 0.000 0.000
0.750 0.422 0.952
0.500 0.000 0.000
0.250 0.952 0.422
0.250 0.578 0.048
0.750 0.606 0.394
0.250 0.394 0.606
0.750 0.840 0.160
0.250 0.160 0.840
```

Record 3
This record from Alexandria via LeMat-Bulk describes a relaxed structure of Er4FeNi. The functional is GGA-PBE.

D(E_F) (states/eV per cell): 9.60
Space group: I4_1md, No. 109
Size of the total moment (μB/atom): 0.000

Cell and atoms, written as POSCAR:
```
Er4FeNi
1.0
-4.823 4.534 -3.346
-2.961 -5.743 3.642
3.550 4.090 5.068
Er Fe Ni
8 2 2
direct
0.199 0.993 0.206
0.308 0.507 0.801
0.743 0.038 0.294
0.788 0.993 0.794
0.743 0.449 0.706
0.706 0.507 0.199
0.257 0.558 0.301
0.257 0.956 0.699
0.501 0.001 0.500
0.751 0.751 0.000
0.248 0.248 0.000
0.998 0.498 0.500
```

Record 4
This record from Alexandria via LeMat-Bulk describes a relaxed structure of ErFe4Ni. The functional is GGA-PBE.

D(E_F) (states/eV per cell): 7.15
Space group: F-43m, No. 216
Size of the total moment (μB/atom): 1.636

Cell and atoms, written as POSCAR:
```
ErFe4Ni
1.0
-1.307 -2.425 4.067
3.446 -1.717 3.050
0.634 2.075 4.407
Fe Er Ni
4 1 1
direct
0.126 0.625 0.625
0.625 0.126 0.625
0.625 0.625 0.625
0.625 0.625 0.126
0.000 0.000 0.000
0.250 0.250 0.250
```

Record 5
This record from Alexandria via LeMat-Bulk describes a relaxed structure of ErFeNiP2. The functional is GGA-PBE.

D(E_F) (states/eV per cell): 2.29
Space group: I-4m2, No. 119
Size of the total moment (μB/atom): 0.287

Cell and atoms, written as POSCAR:
```
ErFeNiP2
1.0
3.835 0.000 0.000
0.000 3.835 0.000
-1.917 -1.917 4.725
P Fe Ni Er
2 1 1 1
direct
0.625 0.625 0.249
0.375 0.375 0.751
0.750 0.250 0.500
0.250 0.750 0.500
0.000 0.000 0.000
```

Record 6
This record from Alexandria via LeMat-Bulk describes a relaxed structure of ErPaFeNi. The functional is GGA-PBE.

D(E_F) (states/eV per cell): 5.52
Space group: F-43m, No. 216
Size of the total moment (μB/atom): 0.127

Cell and atoms, written as POSCAR:
```
ErPaFeNi
1.0
4.711 0.000 0.000
2.355 4.080 0.000
2.355 1.360 3.846
Pa Ni Fe Er
1 1 1 1
direct
0.000 0.000 0.000
0.250 0.250 0.250
0.750 0.750 0.750
0.500 0.500 0.500
```

Sequential ΔE_f output: -0.261 0.254 -0.047 0.011 -0.958 -0.098 eV per atom